[1]
A geometry-optimized CoSeN2Cl structure, computed with PBE.

Results
Raw formation energy ... 1.116 eV/atom
DFT total energy ... -4.702 eV/atom
Magnetization ... 0.1890 μB per atom

abc: 3.6197 3.6197 5.5115
angles: 90.00 90.00 90.00
Closest atoms and distances in Å follow each position.
Positions (direct):
Cl 0.5000 0.5000 0.5000  4 Se 2.56
N 0.5000 0.0000 0.0000  2 Co 1.81
N 0.0000 0.5000 0.0000  2 Co 1.81
Co 0.0000 0.0000 0.0000  4 N 1.81
Se 0.0000 0.0000 0.5000  4 Cl 2.56, 2 Co 2.76

[2]
A geometry-optimized CoSe2NCl structure, computed with PBE.

Results
Raw formation energy ... 1.736 eV/atom
DFT total energy ... -3.113 eV/atom
Magnetization ... 0.4960 μB per atom

abc: 5.1939 5.1939 3.3448
angles: 90.00 90.00 90.00
Closest atoms and distances in Å follow each position.
Positions (direct):
Cl 0.0000 0.0000 0.0000  2 N 1.67
Se 0.5000 0.0000 0.0000  2 Cl 2.60
Co 0.5000 0.5000 0.5000  8 Se 3.09, 2 Co 3.34
N 0.0000 0.0000 0.5000  2 Cl 1.67
Se 0.0000 0.5000 0.0000  2 Cl 2.60

[3]
A geometry-optimized Sm6Co2NCl3 structure, computed with PBE.

Results
Raw formation energy ... -1.057 eV/atom
DFT total energy ... -5.756 eV/atom
Magnetization ... 0.0000 μB per atom

abc: 6.6619 6.6619 7.6476
angles: 98.20 98.20 119.97
Closest atoms and distances in Å follow each position.
Positions (direct):
Co 0.6670 0.3330 0.0000  6 Sm 2.67
Sm 0.2559 0.2559 0.8084  1 N 2.55, 2 Co 2.67
Cl 0.5000 0.5000 0.5000  6 Sm 3.14-3.23
Sm 0.0631 0.3812 0.1915  1 N 2.54, 2 Co 2.67
Cl 0.1634 0.8366 0.5000  6 Sm 3.12-3.27
Sm 0.3812 0.0631 0.1915  1 N 2.54, 2 Co 2.67
Sm 0.6188 0.9369 0.8085  1 N 2.54, 2 Co 2.67
Cl 0.8366 0.1634 0.5000  6 Sm 3.12-3.27
N 0.0000 0.0000 0.0000  6 Sm 2.54-2.55
Co 0.3330 0.6670 0.0000  6 Sm 2.67
Sm 0.7441 0.7441 0.1916  1 N 2.55, 2 Co 2.67
Sm 0.9369 0.6188 0.8085  1 N 2.54, 2 Co 2.67

[4]
A geometry-optimized Sm8Co3NCl3 structure, computed with PBE.

Results
Raw formation energy ... -0.787 eV/atom
DFT total energy ... -5.649 eV/atom
Magnetization ... 0.0000 μB per atom

abc: 7.7531 7.7685 8.5434
angles: 117.05 89.99 119.93
Closest atoms and distances in Å follow each position.
Positions (direct):
Sm 0.7345 0.4692 0.7041  3 Co 2.69
N 0.0000 0.0000 0.5000  6 Sm 2.56-2.57
Sm 0.7755 0.5509 0.3068  1 N 2.57, 2 Co 2.68
Sm 0.2236 0.9692 0.6925  1 N 2.56, 2 Co 2.68-2.69
Sm 0.7764 0.0308 0.3075  1 N 2.56, 2 Co 2.68-2.69
Cl 0.5000 0.5000 0.0000  6 Sm 3.10-3.13
Sm 0.7456 0.9692 0.6924  1 N 2.56, 2 Co 2.68-2.69
Sm 0.2245 0.4491 0.6932  1 N 2.57, 2 Co 2.68
Sm 0.2655 0.5308 0.2959  3 Co 2.69
Sm 0.2544 0.0308 0.3076  1 N 2.56, 2 Co 2.68-2.69
Co 0.5000 0.5000 0.5000  6 Sm 2.68-2.69
Cl 0.0000 0.0000 0.0000  6 Sm 3.11-3.13
Cl 0.0000 0.5000 0.0000  6 Sm 3.11-3.14
Co 0.5000 0.0000 0.5000  6 Sm 2.68-2.69
Co 0.0000 0.5000 0.5000  6 Sm 2.68-2.69